1.
This record from the Alexandria database describes a relaxed Al2IrBr crystal. The functional is PBEsol.

- size of the total moment (μB/cell) = 0.000
- uncorrected formation energy (eV/atom) = -0.088
- energy above the most stable polymorph in this dataset (eV/f.u.) = 0.00

a b c (Å): 4.746 4.774 2.924
angles (deg): 90.00 90.00 90.00
Space group Pmm2 (No. 25)
Inequivalent atoms, fractional coordinates:
1 Al 0.000 0.000 0.000
2 Al 0.500 0.500 0.009
3 Ir 0.500 0.000 0.424
4 Br 0.000 0.500 0.731

=====

2.
This record from the Alexandria database describes a relaxed K2YCu crystal. The functional is PBEsol.

- size of the total moment (μB/cell) = 0.000
- energy of formation from the pure elements (eV/f.u.) = 2.7
- energy above the most stable polymorph in this dataset (eV/f.u.) = 0.00

a b c (Å): 6.288 13.008 3.649
angles (deg): 90.00 122.96 90.00
Space group C2/m (No. 12)
Inequivalent atoms, fractional coordinates:
1 K 0.250 0.250 0.000
2 Y 0.000 0.000 0.500
3 Cu 0.000 0.500 0.500

=====

Q: Look up the size of the total moment of the second one.
A: 0.000 μB/cell